# BaCdPb | Alexandria | PBE-GGA | relaxed
# - Density: 7.17 g/cm3
# - Total DFT energy (no corrections): -15.877 eV per cell
data_BaCdPb
_chemical_formula_sum 'Ba2 Cd2 Pb2'
_space_group_name_H-M_alt 'P 4/n m m'
_space_group_IT_number 129
_cell_length_a 5.099
_cell_length_b 5.099
_cell_length_c 8.145
_cell_angle_alpha 90.00
_cell_angle_beta 90.00
_cell_angle_gamma 90.00
loop_
_space_group_symop_operation_xyz
'x,y,z'
'-x,-y,-z'
'-y+1/2,x,z'
'y+1/2,-x,-z'
'-x+1/2,-y+1/2,z'
'x+1/2,y+1/2,-z'
'y,-x+1/2,z'
'-y,x+1/2,-z'
'x+1/2,-y,-z'
'-x+1/2,y,z'
'-y,-x,-z'
'y,x,z'
'-x,y+1/2,-z'
'x,-y+1/2,z'
'y+1/2,x+1/2,-z'
'-y+1/2,-x+1/2,z'
loop_
_atom_site_label
_atom_site_type_symbol
_atom_site_fract_x
_atom_site_fract_y
_atom_site_fract_z
_atom_site_occupancy
Ba1 Ba 0.250 0.250 0.190 1
Cd1 Cd 0.250 0.750 0.500 1
Pb1 Pb 0.250 0.250 0.727 1